Record 1
The following is a PBE calculation of a geometry-optimized NaU2F8 structure, from Alexandria.

Values from the calculation:
Symmetry: C2/m (12)
ΔE_f (raw), eV per atom: -3.4149

CIF file:
```
data_NaU2F8
_symmetry_space_group_name_H-M 'P 1'
_symmetry_Int_Tables_number 1
_cell_length_a 7.6551
_cell_length_b 7.6551
_cell_length_c 5.7341
_cell_angle_alpha 109.02
_cell_angle_beta 109.02
_cell_angle_gamma 28.89
loop_
_symmetry_equiv_pos_as_xyz
'x,y,z'
loop_
_atom_site_label
_atom_site_type_symbol
_atom_site_fract_x
_atom_site_fract_y
_atom_site_fract_z
Na1 Na 0.0000 0.0000 0.0000
U1 U 0.3321 0.3321 0.3201
U2 U 0.6679 0.6679 0.6799
F1 F 0.0979 0.0979 0.4545
F2 F 0.1823 0.1823 0.9639
F3 F 0.2831 0.2831 0.6722
F4 F 0.4616 0.4616 0.2121
F5 F 0.5384 0.5384 0.7879
F6 F 0.7169 0.7169 0.3278
F7 F 0.8177 0.8177 0.0361
F8 F 0.9021 0.9021 0.5455
```

---

Record 2
The following is a PBE calculation of a geometry-optimized NdPdPt3 structure, from Alexandria.

Values from the calculation:
Symmetry: Cmcm (63)
Energy of formation from the pure elements, eV/atom: -0.01

CIF file:
```
data_NdPdPt3
_symmetry_space_group_name_H-M 'P 1'
_symmetry_Int_Tables_number 1
_cell_length_a 7.8533
_cell_length_b 7.8533
_cell_length_c 4.8120
_cell_angle_alpha 90.00
_cell_angle_beta 90.00
_cell_angle_gamma 124.36
loop_
_symmetry_equiv_pos_as_xyz
'x,y,z'
loop_
_atom_site_label
_atom_site_type_symbol
_atom_site_fract_x
_atom_site_fract_y
_atom_site_fract_z
Nd1 Nd 0.1277 0.8723 0.7500
Nd2 Nd 0.8723 0.1277 0.2500
Pd1 Pd 0.3303 0.6697 0.7500
Pd2 Pd 0.6697 0.3303 0.2500
Pt1 Pt 0.0868 0.5706 0.2500
Pt2 Pt 0.4294 0.9132 0.2500
Pt3 Pt 0.5000 0.5000 0.0000
Pt4 Pt 0.5000 0.5000 0.5000
Pt5 Pt 0.5706 0.0868 0.7500
Pt6 Pt 0.9132 0.4294 0.7500
```

---

Record 3
The following is a PBE calculation of a geometry-optimized VSeIN2 structure, from Alexandria.

Values from the calculation:
Symmetry: P4/mmm (123)
ΔE_f (raw), eV per atom: 0.7138

CIF file:
```
data_VSeIN2
_symmetry_space_group_name_H-M 'P 1'
_symmetry_Int_Tables_number 1
_cell_length_a 3.8699
_cell_length_b 3.8699
_cell_length_c 6.0406
_cell_angle_alpha 90.00
_cell_angle_beta 90.00
_cell_angle_gamma 90.00
loop_
_symmetry_equiv_pos_as_xyz
'x,y,z'
loop_
_atom_site_label
_atom_site_type_symbol
_atom_site_fract_x
_atom_site_fract_y
_atom_site_fract_z
V1 V 0.0000 0.0000 0.0000
Se1 Se 0.5000 0.5000 0.5000
I1 I 0.0000 0.0000 0.5000
N1 N 0.0000 0.5000 0.0000
N2 N 0.5000 0.0000 0.0000
```

---

Record 4
The following is a PBE calculation of a geometry-optimized TaPt2Au structure, from Alexandria.

Values from the calculation:
Symmetry: P4/mmm (123)
Energy of formation from the pure elements, eV/atom: -0.45

CIF file:
```
data_TaPt2Au
_symmetry_space_group_name_H-M 'P 1'
_symmetry_Int_Tables_number 1
_cell_length_a 2.9005
_cell_length_b 2.9005
_cell_length_c 7.9795
_cell_angle_alpha 90.00
_cell_angle_beta 90.00
_cell_angle_gamma 90.00
loop_
_symmetry_equiv_pos_as_xyz
'x,y,z'
loop_
_atom_site_label
_atom_site_type_symbol
_atom_site_fract_x
_atom_site_fract_y
_atom_site_fract_z
Ta1 Ta 0.0000 0.0000 0.0000
Pt1 Pt 0.5000 0.5000 0.2350
Pt2 Pt 0.5000 0.5000 0.7650
Au1 Au 0.0000 0.0000 0.5000
```

---

no.,DOS(E_F) (states/eV per atom),spin magnetization (μB per formula unit)
1,1.594,5.0
2,1.078,0.0
3,0.593,0.5
4,1.037,0.0